First-principles (GGA-PBE) data for a relaxed AcTmTe3 crystal, as listed in Alexandria. Values from VASP.

Energy relative to the elements, uncorrected   -1.471 eV per atom
Volume   33.7 Å³/atom
Energy   -5.07 eV/atom

Geometry as Quantum ESPRESSO input:
```
&SYSTEM
  ibrav = 0, nat = 20, ntyp = 3
/
ATOMIC_SPECIES
Ac 227.00 Ac.upf
Tm 168.93 Tm.upf
Te 127.60 Te.upf
CELL_PARAMETERS angstrom
9.3394 0.0000 0.0000
0.0000 4.5664 0.0000
0.0000 0.0000 15.8147
ATOMIC_POSITIONS angstrom
Ac 0.8610 1.1416 2.7483
Ac 3.8087 3.4248 10.6556
Ac 5.5308 1.1416 5.1591
Ac 8.4784 3.4248 13.0665
Tm 1.4953 3.4248 7.0914
Tm 3.1745 1.1416 14.9988
Tm 6.1650 3.4248 0.8160
Tm 7.8442 1.1416 8.7234
Te 0.2254 3.4248 9.7927
Te 1.4322 3.4248 0.2431
Te 1.7221 1.1416 12.4002
Te 2.9476 3.4248 4.4928
Te 3.2375 1.1416 8.1505
Te 4.4444 1.1416 1.8854
Te 4.8951 3.4248 13.9294
Te 6.1020 3.4248 7.6643
Te 6.3918 1.1416 11.3219
Te 7.6174 3.4248 3.4146
Te 7.9072 1.1416 15.5716
Te 9.1141 1.1416 6.0220
```

First-principles (GGA-PBE) data for a relaxed Ac2Tm3Te6 crystal, as listed in Alexandria. Values from VASP.

Energy relative to the elements, uncorrected   -1.395 eV per atom
Volume   34.5 Å³/atom
Energy   -5.08 eV/atom

Geometry as Quantum ESPRESSO input:
```
&SYSTEM
  ibrav = 0, nat = 11, ntyp = 3
/
ATOMIC_SPECIES
Ac 227.00 Ac.upf
Tm 168.93 Tm.upf
Te 127.60 Te.upf
CELL_PARAMETERS angstrom
3.8350 -6.6114 0.0000
3.8350 6.6114 0.0000
-2.5692 0.0000 7.4897
ATOMIC_POSITIONS angstrom
Ac 3.8350 4.4353 0.0000
Ac 3.8350 -4.4353 0.0000
Tm -1.2846 0.0000 3.7448
Tm 2.5504 2.2586 3.7448
Tm 2.5504 -2.2586 3.7448
Te 0.0420 2.1255 5.4623
Te 1.3672 0.0000 2.0478
Te 0.0420 -2.1255 5.4623
Te 5.0588 2.1255 2.0274
Te 3.7335 0.0000 5.4419
Te 5.0588 -2.1255 2.0274
```

First-principles (GGA-PBE) data for a relaxed AcTm3Te6 crystal, as listed in Alexandria. Values from VASP.

Energy relative to the elements, uncorrected   -1.419 eV per atom
Volume   33.8 Å³/atom
Energy   -5.06 eV/atom

Geometry as Quantum ESPRESSO input:
```
&SYSTEM
  ibrav = 0, nat = 20, ntyp = 3
/
ATOMIC_SPECIES
Ac 227.00 Ac.upf
Tm 168.93 Tm.upf
Te 127.60 Te.upf
CELL_PARAMETERS angstrom
12.5344 0.0000 0.0000
0.0000 4.4440 0.0000
-4.2494 0.0000 12.1396
ATOMIC_POSITIONS angstrom
Ac -0.2045 1.1110 2.4273
Ac 8.4895 3.3330 9.7124
Tm -0.5236 1.1110 7.1242
Tm -0.2230 3.3330 12.1351
Tm 4.1432 1.1110 4.0876
Tm 4.1418 3.3330 8.0520
Tm 8.5080 1.1110 0.0045
Tm 8.8086 3.3330 5.0154
Te -0.6804 3.3330 4.9977
Te -2.5336 1.1110 11.7488
Te -0.6520 3.3330 9.0972
Te 2.4369 3.3330 2.7746
Te 2.5119 1.1110 6.7373
Te 5.5548 1.1110 1.3949
Te 2.7302 3.3330 10.7447
Te 5.7732 3.3330 5.4023
Te 5.8481 1.1110 9.3650
Te 8.9370 1.1110 3.0424
Te 10.8187 3.3330 0.3908
Te 8.9654 1.1110 7.1419
```

First-principles (GGA-PBE) data for a relaxed AcTm4Te8 crystal, as listed in Alexandria. Values from VASP.

Energy relative to the elements, uncorrected   -1.315 eV per atom
Volume   38.2 Å³/atom
Energy   -4.94 eV/atom

Geometry as Quantum ESPRESSO input:
```
&SYSTEM
  ibrav = 0, nat = 13, ntyp = 3
/
ATOMIC_SPECIES
Ac 227.00 Ac.upf
Tm 168.93 Tm.upf
Te 127.60 Te.upf
CELL_PARAMETERS angstrom
4.2668 2.4634 7.8735
-4.2668 2.4634 7.8735
0.0000 -4.9268 7.8735
ATOMIC_POSITIONS angstrom
Ac 0.0000 0.0000 0.0000
Tm -4.2667 0.0000 11.8103
Tm -2.1334 1.2317 3.9368
Tm 2.1334 1.2317 3.9368
Tm 0.0000 0.0000 11.8103
Te 0.0000 0.0000 5.7077
Te -2.0902 -1.2068 13.6156
Te 0.0000 -2.4135 10.0050
Te -2.0902 1.2068 10.0050
Te 2.0902 -1.2068 13.6156
Te 0.0000 2.4135 13.6156
Te 2.0902 1.2068 10.0050
Te 0.0000 0.0000 17.9129
```

First-principles (GGA-PBE) data for a relaxed Ac3TmTe6 crystal, as listed in Alexandria. Values from VASP.

Energy relative to the elements, uncorrected   -1.491 eV per atom
Relative energy among the computed polymorphs   0.008 eV per atom
Volume   40.1 Å³/atom
Energy   -5.06 eV/atom

Geometry as Quantum ESPRESSO input:
```
&SYSTEM
  ibrav = 0, nat = 20, ntyp = 3
/
ATOMIC_SPECIES
Ac 227.00 Ac.upf
Tm 168.93 Tm.upf
Te 127.60 Te.upf
CELL_PARAMETERS angstrom
7.1478 4.1268 4.5344
-7.1478 4.1268 4.5344
0.0000 -8.2536 4.5344
ATOMIC_POSITIONS angstrom
Ac -3.6584 0.6994 4.6865
Ac 1.2235 -3.5180 4.6865
Ac -2.4349 -2.8186 8.9168
Ac 2.4349 2.8186 4.6865
Ac -1.2235 3.5180 8.9168
Ac 3.6584 -0.6994 8.9168
Tm 0.0000 0.0000 0.0000
Tm 0.0000 0.0000 6.8017
Te -4.6441 -4.7612 7.4899
Te -6.4454 1.6413 6.1134
Te -1.7121 -2.0844 5.3467
Te 1.8013 -6.4025 6.1134
Te -0.9491 2.5250 5.3467
Te -2.6612 0.4405 8.2566
Te 2.6612 -0.4405 5.3467
Te 0.9491 -2.5250 8.2566
Te -1.8013 6.4025 7.4899
Te 1.7121 2.0844 8.2566
Te 6.4454 -1.6413 7.4899
Te 4.6441 4.7612 6.1134
```

First-principles (GGA-PBE) data for a relaxed AcTm2Te5 crystal, as listed in Alexandria. Values from VASP.

Energy relative to the elements, uncorrected   -1.268 eV per atom
Volume   30.6 Å³/atom
Energy   -4.86 eV/atom

Geometry as Quantum ESPRESSO input:
```
&SYSTEM
  ibrav = 0, nat = 16, ntyp = 3
/
ATOMIC_SPECIES
Ac 227.00 Ac.upf
Tm 168.93 Tm.upf
Te 127.60 Te.upf
CELL_PARAMETERS angstrom
-4.1311 4.1311 7.1806
4.1311 -4.1311 7.1806
4.1311 4.1311 -7.1806
ATOMIC_POSITIONS angstrom
Ac 0.0000 0.0000 3.5903
Ac 0.0000 0.0000 10.7708
Tm 5.3837 1.2526 0.0000
Tm 1.2526 2.8785 0.0000
Tm 2.8785 1.2526 7.1806
Tm -1.2526 2.8785 7.1806
Te 0.0000 0.0000 0.0000
Te 2.8575 1.2735 -2.0416
Te 2.8575 -1.2735 5.1390
Te 2.8575 1.2735 2.0416
Te 2.8575 -1.2735 9.2221
Te 0.0000 0.0000 7.1806
Te 1.2735 5.4046 -2.0416
Te 1.2735 2.8575 5.1390
Te 1.2735 5.4046 2.0416
Te 1.2735 2.8575 9.2221
```